# KB2PbCl8 (PBE, relaxed)
data_KB2PbCl8
_cell_length_a 6.2593
_cell_length_b 6.2593
_cell_length_c 30.2675
_cell_angle_alpha 90.00
_cell_angle_beta 90.00
_cell_angle_gamma 120.00
_space_group_name_H-M_alt 'R -3'
_space_group_IT_number 148
_space_group_name_Hall '-R 3'
loop_
_atom_site_label
_atom_site_type_symbol
_atom_site_fract_x
_atom_site_fract_y
_atom_site_fract_z
_atom_site_occupancy
K1 K 0.0000 0.0000 0.0000 1
B1 B 0.0000 0.0000 0.2600 1
Pb1 Pb 0.0000 0.0000 0.5000 1
Cl1 Cl 0.0000 0.0000 0.3213 1
Cl2 Cl 0.0335 0.6267 0.4270 1
# - Formation energy (no corrections): -0.9815 eV/atom



# ZnCu2CS (PBE, relaxed)
data_ZnCu2CS
_cell_length_a 4.494
_cell_length_b 4.494
_cell_length_c 3.610
_cell_angle_alpha 90.00
_cell_angle_beta 90.00
_cell_angle_gamma 90.00
_space_group_name_H-M_alt 'P 4/m m m'
_space_group_IT_number 123
_space_group_name_Hall '-P 4 2'
loop_
_atom_site_label
_atom_site_type_symbol
_atom_site_fract_x
_atom_site_fract_y
_atom_site_fract_z
_atom_site_occupancy
Zn1 Zn 0.000 0.000 0.000 1
Cu1 Cu 0.000 0.500 0.500 1
C1 C 0.500 0.500 0.000 1
S1 S 0.500 0.500 0.500 1
# - Offset from the most stable computed form: 0.000 eV per atom
# - Formation energy (no corrections): 1.1793 eV/atom



# TaRu2W (PBE, relaxed)
data_TaRu2W
_cell_length_a 6.303
_cell_length_b 6.303
_cell_length_c 6.303
_cell_angle_alpha 90.00
_cell_angle_beta 90.00
_cell_angle_gamma 90.00
_space_group_name_H-M_alt 'F m -3 m'
_space_group_IT_number 225
_space_group_name_Hall '-F 4 2 3'
loop_
_atom_site_label
_atom_site_type_symbol
_atom_site_fract_x
_atom_site_fract_y
_atom_site_fract_z
_atom_site_occupancy
Ta1 Ta 0.000 0.000 0.000 1
Ru1 Ru 0.250 0.250 0.250 1
W1 W 0.000 0.000 0.500 1
# - Offset from the most stable computed form: 0.139 eV per atom
# - DFT formation energy: 0.061 eV per atom



# MnTc2Ag (PBE, relaxed)
data_MnTc2Ag
_cell_length_a 2.788
_cell_length_b 3.857
_cell_length_c 5.651
_cell_angle_alpha 90.00
_cell_angle_beta 90.98
_cell_angle_gamma 90.00
_space_group_name_H-M_alt 'P 1 m 1'
_space_group_IT_number 6
loop_
_space_group_symop_operation_xyz
'x,y,z'
'x,-y,z'
loop_
_atom_site_label
_atom_site_type_symbol
_atom_site_fract_x
_atom_site_fract_y
_atom_site_fract_z
_atom_site_occupancy
Mn1 Mn 0.000 0.000 0.000 1
Tc1 Tc 0.520 0.500 0.244 1
Tc2 Tc 0.978 0.000 0.448 1
Ag1 Ag 0.492 0.500 0.742 1
# - Offset from the most stable computed form: 0.083 eV per atom
# - DFT formation energy: 0.329 eV per atom



# K3CeCl6 (PBE, relaxed)
data_K3CeCl6
_cell_length_a 7.613
_cell_length_b 8.079
_cell_length_c 13.242
_cell_angle_alpha 90.00
_cell_angle_beta 123.86
_cell_angle_gamma 90.00
_space_group_name_H-M_alt 'P 1 21/c 1'
_space_group_IT_number 14
loop_
_space_group_symop_operation_xyz
'x,y,z'
'-x,-y,-z'
'-x,y+1/2,-z+1/2'
'x,-y+1/2,z+1/2'
loop_
_atom_site_label
_atom_site_type_symbol
_atom_site_fract_x
_atom_site_fract_y
_atom_site_fract_z
_atom_site_occupancy
K1 K 0.000 0.000 0.000 1
K2 K 0.214 0.071 0.742 1
Ce1 Ce 0.500 0.000 0.500 1
Cl1 Cl 0.148 0.182 0.441 1
Cl2 Cl 0.246 0.719 0.419 1
Cl3 Cl 0.402 0.064 0.268 1
# - Formation energy (no corrections): -2.0906 eV/atom



# Be2SnGeCl (PBE, relaxed)
data_Be2SnGeCl
_cell_length_a 4.264
_cell_length_b 4.264
_cell_length_c 5.919
_cell_angle_alpha 90.00
_cell_angle_beta 90.00
_cell_angle_gamma 90.00
_space_group_name_H-M_alt 'P 4/m m m'
_space_group_IT_number 123
_space_group_name_Hall '-P 4 2'
loop_
_atom_site_label
_atom_site_type_symbol
_atom_site_fract_x
_atom_site_fract_y
_atom_site_fract_z
_atom_site_occupancy
Be1 Be 0.000 0.500 0.000 1
Sn1 Sn 0.000 0.000 0.500 1
Ge1 Ge 0.500 0.500 0.000 1
Cl1 Cl 0.500 0.500 0.500 1
# - Formation energy (no corrections): 0.5097 eV/atom



# Be2TlFe (PBE, relaxed)
data_Be2TlFe
_cell_length_a 3.703
_cell_length_b 3.746
_cell_length_c 7.445
_cell_angle_alpha 90.00
_cell_angle_beta 90.00
_cell_angle_gamma 90.00
_space_group_name_H-M_alt 'I m m m'
_space_group_IT_number 71
_space_group_name_Hall '-I 2 2'
loop_
_atom_site_label
_atom_site_type_symbol
_atom_site_fract_x
_atom_site_fract_y
_atom_site_fract_z
_atom_site_occupancy
Be1 Be 0.000 0.000 0.249 1
Tl1 Tl 0.000 0.500 0.000 1
Fe1 Fe 0.000 0.500 0.500 1
# - Offset from the most stable computed form: 0.213 eV per atom
# - DFT formation energy: 0.565 eV per atom



# SrCaP (PBE, relaxed)
data_SrCaP
_cell_length_a 7.836
_cell_length_b 4.529
_cell_length_c 9.419
_cell_angle_alpha 90.00
_cell_angle_beta 90.00
_cell_angle_gamma 90.00
_space_group_name_H-M_alt 'P n m a'
_space_group_IT_number 62
loop_
_space_group_symop_operation_xyz
'x,y,z'
'-x,-y,-z'
'-x+1/2,-y,z+1/2'
'x+1/2,y,-z+1/2'
'x+1/2,-y+1/2,-z+1/2'
'-x+1/2,y+1/2,z+1/2'
'-x,y+1/2,-z'
'x,-y+1/2,z'
loop_
_atom_site_label
_atom_site_type_symbol
_atom_site_fract_x
_atom_site_fract_y
_atom_site_fract_z
_atom_site_occupancy
Sr1 Sr 0.040 0.250 0.169 1
Ca1 Ca 0.133 0.250 0.564 1
P1 P 0.242 0.750 0.371 1
# - DFT formation energy: -0.797 eV per atom



# Pm6TlCd2 (PBE, relaxed)
data_Pm6TlCd2
_cell_length_a 16.506
_cell_length_b 7.562
_cell_length_c 5.243
_cell_angle_alpha 90.00
_cell_angle_beta 107.75
_cell_angle_gamma 90.00
_space_group_name_H-M_alt 'C 1 2/m 1'
_space_group_IT_number 12
loop_
_space_group_symop_operation_xyz
'x,y,z'
'-x,-y,-z'
'-x,y,-z'
'x,-y,z'
'x+1/2,y+1/2,z'
'-x+1/2,-y+1/2,-z'
'-x+1/2,y+1/2,-z'
'x+1/2,-y+1/2,z'
loop_
_atom_site_label
_atom_site_type_symbol
_atom_site_fract_x
_atom_site_fract_y
_atom_site_fract_z
_atom_site_occupancy
Pm1 Pm 0.000 0.246 0.000 1
Pm2 Pm 0.168 0.248 0.668 1
Tl1 Tl 0.000 0.500 0.500 1
Cd1 Cd 0.167 0.000 0.167 1
# - Offset from the most stable computed form: 0.252 eV per atom
# - DFT formation energy: 0.042 eV per atom



# PrEr12Tm3 (PBE, relaxed)
data_PrEr12Tm3
_cell_length_a 4.971
_cell_length_b 4.971
_cell_length_c 19.884
_cell_angle_alpha 90.00
_cell_angle_beta 90.00
_cell_angle_gamma 90.00
_space_group_name_H-M_alt 'P 4/m m m'
_space_group_IT_number 123
_space_group_name_Hall '-P 4 2'
loop_
_atom_site_label
_atom_site_type_symbol
_atom_site_fract_x
_atom_site_fract_y
_atom_site_fract_z
_atom_site_occupancy
Pr1 Pr 0.000 0.000 0.000 1
Er1 Er 0.000 0.500 0.128 1
Er2 Er 0.000 0.500 0.376 1
Er3 Er 0.500 0.500 0.000 1
Er4 Er 0.500 0.500 0.252 1
Er5 Er 0.500 0.500 0.500 1
Tm1 Tm 0.000 0.000 0.252 1
Tm2 Tm 0.000 0.000 0.500 1
# - DFT formation energy: 0.025 eV per atom



# Sc4Co2SnRu (PBE, relaxed)
data_Sc4Co2SnRu
_cell_length_a 4.6104
_cell_length_b 4.6104
_cell_length_c 22.8977
_cell_angle_alpha 90.00
_cell_angle_beta 90.00
_cell_angle_gamma 120.00
_space_group_name_H-M_alt 'R -3 m'
_space_group_IT_number 166
_space_group_name_Hall '-R 3 2"'
loop_
_atom_site_label
_atom_site_type_symbol
_atom_site_fract_x
_atom_site_fract_y
_atom_site_fract_z
_atom_site_occupancy
Sc1 Sc 0.0000 0.0000 0.1156 1
Sc2 Sc 0.0000 0.0000 0.3689 1
Co1 Co 0.0000 0.0000 0.2493 1
Sn1 Sn 0.0000 0.0000 0.5000 1
Ru1 Ru 0.0000 0.0000 0.0000 1
# - DFT formation energy: -0.449 eV per atom



# Sm2UAs3Rh4 (PBE, relaxed)
data_Sm2UAs3Rh4
_cell_length_a 4.166
_cell_length_b 4.166
_cell_length_c 11.203
_cell_angle_alpha 90.00
_cell_angle_beta 90.00
_cell_angle_gamma 90.00
_space_group_name_H-M_alt 'P -4 m 2'
_space_group_IT_number 115
loop_
_space_group_symop_operation_xyz
'x,y,z'
'y,-x,-z'
'-x,-y,z'
'-y,x,-z'
'-x,y,z'
'-y,-x,-z'
'x,-y,z'
'y,x,-z'
loop_
_atom_site_label
_atom_site_type_symbol
_atom_site_fract_x
_atom_site_fract_y
_atom_site_fract_z
_atom_site_occupancy
Sm1 Sm 0.000 0.500 0.220 1
U1 U 0.000 0.000 0.500 1
As1 As 0.000 0.500 0.869 1
As2 As 0.500 0.500 0.500 1
Rh1 Rh 0.000 0.000 0.000 1
Rh2 Rh 0.000 0.500 0.650 1
Rh3 Rh 0.500 0.500 0.000 1
# - DFT formation energy: -0.851 eV per atom